[1]
Computed, not measured: BaMgBe2 after structural relaxation at the PBE level of DFT.

Geometry as POSCAR:
```
BaMgBe2
1.0
-2.2330 3.4971 -0.0807
-3.4298 0.3281 2.3133
1.5370 3.5497 5.4673
Be Mg Ba
2 1 1
direct
0.9397 0.9397 0.1799
0.2703 0.2703 0.1898
0.5543 0.5543 0.3382
0.7358 0.7358 0.7921
```

Final energy: -2.442 eV per atom
DFT formation energy: 1.2 eV per formula unit

---

[2]
Computed, not measured: KY2Cl after structural relaxation at the PBE level of DFT.

Geometry as POSCAR:
```
KY2Cl
1.0
-5.2489 2.7570 1.8545
-6.0181 1.1266 -1.0513
-4.5863 -4.2368 3.5911
Y K Cl
2 1 1
direct
0.9613 0.9613 0.0122
0.1719 0.1719 0.2351
0.8145 0.8145 0.6293
0.5522 0.5522 0.6234
```

Final energy: -4.353 eV per atom

---

[3]
Computed, not measured: ReSb2Pb after structural relaxation at the PBE level of DFT.

Geometry as POSCAR:
```
ReSb2Pb
1.0
6.9433 -0.0014 -0.0008
4.4845 5.3008 0.0008
-5.2713 -3.6042 2.7263
Pb Re Sb
1 1 2
direct
0.7500 0.2500 0.5000
0.2500 0.7500 0.5000
0.0707 0.0707 0.0000
0.4293 0.4293 0.0000
```

Final energy: -5.562 eV per atom

---

[4]
Computed, not measured: TmAlCdCu after structural relaxation at the PBE level of DFT.

Geometry as POSCAR:
```
TmAlCdCu
1.0
-1.8088 -2.1078 -3.8436
-3.9506 -2.5984 0.3588
-4.0558 1.5792 -1.8827
Tm Al Cu Cd
1 1 1 1
direct
0.5000 0.5000 0.5000
0.0000 0.0000 0.0000
0.2500 0.2500 0.2500
0.7500 0.7500 0.7500
```

Final energy: -3.522 eV per atom
DFT formation energy: -0.9 eV per formula unit

---

[5]
Computed, not measured: BaGa after structural relaxation at the PBE level of DFT.

Geometry as POSCAR:
```
BaGa
1.0
8.2466 0.0000 0.0000
0.0000 11.0374 0.0000
0.0000 0.0000 13.2554
Ba Ga
16 16
direct
0.0000 0.8008 0.0000
0.0000 0.1992 0.0000
0.2500 0.9492 0.2500
0.2500 0.5508 0.2500
0.0000 0.3008 0.5000
0.0000 0.6992 0.5000
0.2500 0.4492 0.7500
0.2500 0.0508 0.7500
0.5000 0.8008 0.5000
0.5000 0.1992 0.5000
0.7500 0.9492 0.7500
0.7500 0.5508 0.7500
0.5000 0.3008 0.0000
0.5000 0.6992 0.0000
0.7500 0.4492 0.2500
0.7500 0.0508 0.2500
0.3490 0.0000 0.0000
0.6510 0.0000 0.0000
0.9010 0.7500 0.2500
0.5990 0.7500 0.2500
0.3490 0.5000 0.5000
0.6510 0.5000 0.5000
0.9010 0.2500 0.7500
0.5990 0.2500 0.7500
0.8490 0.0000 0.5000
0.1510 0.0000 0.5000
0.4010 0.7500 0.7500
0.0990 0.7500 0.7500
0.8490 0.5000 0.0000
0.1510 0.5000 0.0000
0.4010 0.2500 0.2500
0.0990 0.2500 0.2500
```

Final energy: -2.743 eV per atom
DFT formation energy: -0.5 eV per formula unit

---

[6]
Computed, not measured: LaTb5Pm2Dy after structural relaxation at the PBE level of DFT.

Geometry as POSCAR:
```
LaTb5Pm2Dy
1.0
8.7916 0.0000 0.0000
0.0000 8.7916 0.0000
-4.3958 -4.3958 7.7895
La Tb Pm Dy
2 10 4 2
direct
0.2500 0.2500 0.5000
0.7500 0.7500 0.5000
0.9278 0.4278 0.2720
0.6557 0.1557 0.7280
0.0722 0.5722 0.7280
0.1557 0.0722 0.7280
0.5722 0.6557 0.7280
0.8443 0.9278 0.2720
0.4278 0.3443 0.2720
0.3443 0.8443 0.2720
0.5000 0.5000 0.0000
0.0000 0.0000 0.0000
0.1169 0.3831 0.0000
0.6169 0.1169 0.0000
0.3831 0.8831 0.0000
0.8831 0.6169 0.0000
0.2500 0.7500 0.5000
0.7500 0.2500 0.5000
```

Final energy: -4.426 eV per atom
DFT formation energy: 2.4 eV per formula unit

---

[7]
Computed, not measured: NaCo3Ni2S8 after structural relaxation at the PBE level of DFT.

Geometry as POSCAR:
```
NaCo3Ni2S8
1.0
-6.4142 -1.0673 -1.9445
-1.4269 -1.0745 -6.5477
-1.9147 -6.3107 -2.0646
Na Co Ni S
1 3 2 8
direct
0.8706 0.8706 0.3881
0.5008 0.9950 0.0033
0.9950 0.5008 0.0033
0.5008 0.5008 0.0033
0.1251 0.1251 0.6246
0.5004 0.5004 0.4988
0.2601 0.2601 0.2198
0.7275 0.7275 0.8174
0.2580 0.2580 0.7645
0.7196 0.2580 0.7645
0.2580 0.7196 0.7645
0.7307 0.3153 0.2233
0.3153 0.7307 0.2233
0.7307 0.7307 0.2233
```

Final energy: -5.186 eV per atom

---

[8]
Computed, not measured: MgAl2Tl2 after structural relaxation at the PBE level of DFT.

Geometry as POSCAR:
```
MgAl2Tl2
1.0
3.7992 0.0000 0.0000
0.0000 3.7992 0.0000
1.8996 1.8996 8.6688
Mg Tl Al
1 2 2
direct
0.0000 0.0000 0.0000
0.3944 0.3944 0.2113
0.6056 0.6056 0.7887
0.7500 0.2500 0.5000
0.2500 0.7500 0.5000
```

Final energy: -2.567 eV per atom
DFT formation energy: 1.0 eV per formula unit

---

[9]
Computed, not measured: YMoN3 after structural relaxation at the PBE level of DFT.

Geometry as POSCAR:
```
YMoN3
1.0
19.0272 0.0000 0.1444
0.0000 5.3653 0.0000
-6.4895 0.0000 2.8556
Y Mo N
4 4 12
direct
0.1177 0.2717 0.6426
0.8823 0.7283 0.3574
0.3823 0.7717 0.8574
0.6177 0.2283 0.1426
0.4778 0.7482 0.5457
0.5222 0.2518 0.4543
0.0222 0.2482 0.9543
0.9778 0.7518 0.0457
0.3250 0.9501 0.0408
0.6750 0.0499 0.9592
0.1750 0.4501 0.4592
0.8250 0.5499 0.5408
0.3939 0.4120 0.3707
0.6061 0.5880 0.6293
0.1061 0.9120 0.1293
0.8939 0.0880 0.8707
0.4982 0.8256 0.8461
0.5018 0.1744 0.1539
0.0018 0.3256 0.6539
0.9982 0.6744 0.3461
```

Final energy: -9.190 eV per atom

---

[10]
Computed, not measured: Pr4Sm3Y4 after structural relaxation at the PBE level of DFT.

Geometry as POSCAR:
```
Pr4Sm3Y4
1.0
-2.1981 -2.2035 4.8817
6.6056 1.3843 0.1661
-2.1804 9.9814 3.5237
Pr Sm Y
4 3 4
direct
0.7586 0.5171 0.7910
0.7586 0.5171 0.2090
0.8806 0.7613 0.5000
0.9611 0.9222 0.0000
0.4078 0.8157 0.2922
0.4078 0.8157 0.7078
0.2544 0.5087 0.0000
0.6094 0.2187 0.5000
0.5546 0.1092 0.0000
0.1028 0.2057 0.6990
0.1028 0.2057 0.3010
```

Final energy: -5.230 eV per atom
DFT formation energy: 1.6 eV per formula unit

---

Copy entry 4 word for word.
Computed, not measured: TmAlCdCu after structural relaxation at the PBE level of DFT.

Geometry as POSCAR:
```
TmAlCdCu
1.0
-1.8088 -2.1078 -3.8436
-3.9506 -2.5984 0.3588
-4.0558 1.5792 -1.8827
Tm Al Cu Cd
1 1 1 1
direct
0.5000 0.5000 0.5000
0.0000 0.0000 0.0000
0.2500 0.2500 0.2500
0.7500 0.7500 0.7500
```

Final energy: -3.522 eV per atom
DFT formation energy: -0.9 eV per formula unit

---

Q: Which of these has the highest final energy?
A: BaMgBe2

---

Q: Look up the final energy of the fourth one.
A: -3.522 eV per atom